PBE-GGA NdSmEr2, optimized geometry; distance to the lowest polymorph of the same formula = 6.6 meV per atom; total moment = 0.000 μB per cell; symmetry = No. 123; formation energy from the elements = 0.02 eV/atom; calculated density = 8.06 g/cm³
1.0
5.084 0.000 0.000
0.000 5.084 0.000
0.000 0.000 5.016
Nd Sm Er
1 1 2
Direct
0.000 0.000 0.000
0.500 0.500 0.000
0.000 0.500 0.500
0.500 0.000 0.500